The following is a PBE calculation of CeAl4Zn2Pd after structural relaxation, from the Alexandria database.

Values from the calculation:
Crystal system: trigonal

Lattice parameters (Å, degrees): 4.340 4.340 9.271 76.46 76.46 60.00
Last column: magnetic moment on the atom in μB.
Atoms (fractional coordinates):
Al (0.131, 0.131, 0.606)  0.00
Al (0.405, 0.405, 0.786)  0.00
Al (0.595, 0.595, 0.214)  0.00
Al (0.869, 0.869, 0.394)  0.00
Pd (0.500, 0.500, 0.500)  0.00
Zn (0.259, 0.259, 0.222)  0.00
Zn (0.741, 0.741, 0.778)  0.00
Ce (0.000, 0.000, 0.000)  0.42

***

The following is a PBE calculation of Ti2CdP after structural relaxation, from the Alexandria database.

Values from the calculation:
Crystal system: tetragonal
Offset from the most stable computed form (meV/atom): 0

Lattice parameters (Å, degrees): 7.099 7.099 5.767 52.01 52.01 90.00
Atoms (fractional coordinates):
Ti (0.164, 0.625, 0.250)
Ti (0.375, 0.414, 0.750)
Ti (0.586, 0.125, 0.250)
Ti (0.875, 0.836, 0.750)
Cd (0.000, 0.000, 0.000)
Cd (0.750, 0.250, 0.500)
P (0.250, 0.750, 0.500)
P (0.500, 0.500, 0.000)

***

The following is a PBE calculation of TbCeGaPd after structural relaxation, from the Alexandria database.

Values from the calculation:
Crystal system: cubic

Lattice parameters (Å, degrees): 5.092 5.092 5.092 60.00 60.00 60.00
Last column: magnetic moment on the atom in μB.
Atoms (fractional coordinates):
Ce (0.750, 0.750, 0.750)  0.54
Ga (0.000, 0.000, 0.000)  -0.01
Pd (0.500, 0.500, 0.500)  -0.03
Tb (0.250, 0.250, 0.250)  0.00

***

| no. | electronic total energy (eV per atom) |
| --- | --- |
| 1 | -3.940 |
| 2 | -5.730 |
| 3 | -5.275 |